# 1
# GGA-PBE Y2ZnFeC, relaxed
data_Y2ZnFeC
_chemical_formula_sum 'Y2 Zn1 Fe1 C1'
_cell_length_a 4.970
_cell_length_b 4.970
_cell_length_c 3.673
_cell_angle_alpha 90.00
_cell_angle_beta 90.00
_cell_angle_gamma 90.00
_space_group_name_H-M_alt 'P 4/m m m'
_space_group_IT_number 123
_space_group_name_Hall '-P 4 2'
loop_
_atom_site_label
_atom_site_type_symbol
_atom_site_fract_x
_atom_site_fract_y
_atom_site_fract_z
Y1 Y 0.000 0.500 0.000
Zn1 Zn 0.000 0.000 0.500
Fe1 Fe 0.500 0.500 0.500
C1 C 0.500 0.500 0.000
# - ΔH_f (0 K): -0.340 eV per atom
# - Calculated volume: 18.1 A^3/atom
# - Density of states at the Fermi level: 0.5586 states/eV per atom
# - Raw total energy: -33.6 eV per cell

---

# 2
# GGA-PBE YZnFeC, relaxed
data_YZnFeC
_chemical_formula_sum 'Y2 Zn2 Fe2 C2'
_cell_length_a 3.465
_cell_length_b 3.465
_cell_length_c 10.103
_cell_angle_alpha 90.00
_cell_angle_beta 90.00
_cell_angle_gamma 90.00
_space_group_name_H-M_alt 'P 4/n m m'
_space_group_IT_number 129
loop_
_space_group_symop_operation_xyz
'x,y,z'
'-x,-y,-z'
'-y+1/2,x,z'
'y+1/2,-x,-z'
'-x+1/2,-y+1/2,z'
'x+1/2,y+1/2,-z'
'y,-x+1/2,z'
'-y,x+1/2,-z'
'x+1/2,-y,-z'
'-x+1/2,y,z'
'-y,-x,-z'
'y,x,z'
'-x,y+1/2,-z'
'x,-y+1/2,z'
'y+1/2,x+1/2,-z'
'-y+1/2,-x+1/2,z'
loop_
_atom_site_label
_atom_site_type_symbol
_atom_site_fract_x
_atom_site_fract_y
_atom_site_fract_z
Y1 Y 0.250 0.250 0.226
Zn1 Zn 0.250 0.750 0.500
Fe1 Fe 0.250 0.750 0.000
C1 C 0.250 0.250 0.906
# - ΔH_f (0 K): -0.150 eV per atom
# - Calculated volume: 15.2 A^3/atom
# - Density of states at the Fermi level: 0.7651 states/eV per atom
# - Raw total energy: -52.0 eV per cell

---

# 3
# GGA-PBE YZrFe2C, relaxed
data_YZrFe2C
_chemical_formula_sum 'Y1 Zr1 Fe2 C1'
_cell_length_a 4.768
_cell_length_b 4.768
_cell_length_c 4.339
_cell_angle_alpha 90.00
_cell_angle_beta 90.00
_cell_angle_gamma 90.00
_space_group_name_H-M_alt 'P 4/m m m'
_space_group_IT_number 123
_space_group_name_Hall '-P 4 2'
loop_
_atom_site_label
_atom_site_type_symbol
_atom_site_fract_x
_atom_site_fract_y
_atom_site_fract_z
Y1 Y 0.000 0.000 0.000
Zr1 Zr 0.500 0.500 0.500
Fe1 Fe 0.000 0.500 0.500
C1 C 0.500 0.500 0.000
# - ΔH_f (0 K): 1.135 eV per atom
# - Calculated volume: 19.7 A^3/atom
# - Density of states at the Fermi level: 2.0428 states/eV per atom
# - Raw total energy: -35.5 eV per cell

---

Repeat the third record exactly.
# GGA-PBE YZrFe2C, relaxed
data_YZrFe2C
_chemical_formula_sum 'Y1 Zr1 Fe2 C1'
_cell_length_a 4.768
_cell_length_b 4.768
_cell_length_c 4.339
_cell_angle_alpha 90.00
_cell_angle_beta 90.00
_cell_angle_gamma 90.00
_space_group_name_H-M_alt 'P 4/m m m'
_space_group_IT_number 123
_space_group_name_Hall '-P 4 2'
loop_
_atom_site_label
_atom_site_type_symbol
_atom_site_fract_x
_atom_site_fract_y
_atom_site_fract_z
Y1 Y 0.000 0.000 0.000
Zr1 Zr 0.500 0.500 0.500
Fe1 Fe 0.000 0.500 0.500
C1 C 0.500 0.500 0.000
# - ΔH_f (0 K): 1.135 eV per atom
# - Calculated volume: 19.7 A^3/atom
# - Density of states at the Fermi level: 2.0428 states/eV per atom
# - Raw total energy: -35.5 eV per cell

---

Question: Which formula does entry 2 have?
Answer: YZnFeC

---

Question: Look up the raw total energy of the second one.
Answer: -52.0 eV per cell